1.
{
  "formula": "RbCd3Rh",
  "functional": "GGA-PBE",
  "state": "relaxed",
  "lattice": [[13.301, 0.000, -0.760], [5.714, 6.283, -3.299], [-5.714, 6.283, 3.299]],
  "species": ["Rh", "Rh", "Rh", "Rh", "Rb", "Rb", "Rb", "Rb", "Cd", "Cd", "Cd", "Cd", "Cd", "Cd", "Cd", "Cd", "Cd", "Cd", "Cd", "Cd"],
  "frac_coords": [[0.163, 0.421, 0.579], [0.337, 0.079, 0.921], [0.837, 0.579, 0.421], [0.663, 0.921, 0.079], [0.750, 0.994, 0.494], [0.250, 0.006, 0.506], [0.750, 0.506, 0.006], [0.250, 0.494, 0.994], [0.337, 0.560, 0.440], [0.163, 0.940, 0.060], [0.663, 0.440, 0.560], [0.837, 0.060, 0.940], [0.002, 0.397, 0.858], [0.498, 0.358, 0.897], [0.998, 0.603, 0.142], [0.502, 0.642, 0.103], [0.498, 0.103, 0.642], [0.002, 0.142, 0.603], [0.502, 0.897, 0.358], [0.998, 0.858, 0.397]],
  "de_polymorph_ev_per_fu": 1.01,
  "formation_energy_ev_per_atom": 0.095
}

***

2.
{
  "formula": "Na2Li2OsO6",
  "functional": "GGA-PBE",
  "state": "relaxed",
  "lattice": [[-3.633, 1.553, -3.259], [-0.902, -3.931, 3.156], [-1.881, 3.425, 3.728]],
  "species": ["Na", "Na", "Li", "Li", "Os", "O", "O", "O", "O", "O", "O"],
  "frac_coords": [[0.667, 0.333, 0.500], [0.333, 0.667, 0.500], [0.333, 0.667, 0.000], [0.667, 0.333, 0.000], [0.000, 0.000, 0.000], [0.000, 0.302, 0.802], [0.698, 0.698, 0.802], [0.302, 0.000, 0.802], [0.000, 0.698, 0.198], [0.302, 0.302, 0.198], [0.698, 0.000, 0.198]],
  "formation_energy_uncorrected_ev_per_atom": -1.47
}

***

3.
{
  "formula": "PmNiH6Pd",
  "functional": "GGA-PBE",
  "state": "relaxed",
  "lattice": [[4.606, 0.000, 0.000], [2.303, 3.989, 0.000], [0.000, 0.000, 4.261]],
  "species": ["Pm", "Ni", "H", "H", "H", "H", "H", "H", "Pd"],
  "frac_coords": [[0.000, 0.000, 0.000], [0.333, 0.333, 0.500], [0.027, 0.486, 0.244], [0.486, 0.027, 0.756], [0.487, 0.486, 0.756], [0.027, 0.487, 0.756], [0.486, 0.487, 0.244], [0.487, 0.027, 0.244], [0.667, 0.667, 0.500]],
  "total_energy_ev_per_atom": -4.3391
}

***

4.
{
  "formula": "CsRb2Ba2Br7",
  "functional": "GGA-PBE",
  "state": "relaxed",
  "lattice": [[6.587, 0.000, 0.000], [0.000, 6.571, 0.000], [-3.294, -3.285, 13.801]],
  "species": ["Cs", "Rb", "Rb", "Ba", "Ba", "Br", "Br", "Br", "Br", "Br", "Br", "Br"],
  "frac_coords": [[0.000, 0.139, 0.000], [0.250, 0.745, 0.501], [0.750, 0.245, 0.499], [0.387, 0.389, 0.773], [0.613, 0.615, 0.227], [0.381, 0.878, 0.761], [0.730, 0.724, 0.459], [0.112, 0.595, 0.224], [0.619, 0.117, 0.239], [0.270, 0.265, 0.541], [0.888, 0.371, 0.776], [0.500, 0.417, 0.000]],
  "formation_energy_uncorrected_ev_per_atom": -1.94
}

***

5.
{
  "formula": "CeTmMgIn",
  "functional": "GGA-PBE",
  "state": "relaxed",
  "lattice": [[5.346, 0.000, 0.000], [2.673, 4.629, 0.000], [2.673, 1.543, 4.365]],
  "species": ["Mg", "Tm", "Ce", "In"],
  "frac_coords": [[0.250, 0.250, 0.250], [0.000, 0.000, 0.000], [0.500, 0.500, 0.500], [0.750, 0.750, 0.750]],
  "formation_energy_ev_per_atom": -0.219
}

***

6.
{
  "formula": "Ag2TePt",
  "functional": "GGA-PBE",
  "state": "relaxed",
  "lattice": [[-4.940, -1.767, -0.142], [3.489, -3.352, 2.035], [-0.505, 1.186, 2.819]],
  "species": ["Te", "Ag", "Ag", "Pt"],
  "frac_coords": [[0.000, 0.500, 0.500], [0.000, 0.000, 0.000], [0.500, 0.500, 0.000], [0.500, 0.000, 0.500]],
  "formation_energy_uncorrected_ev_per_atom": 0.14
}

***

7.
{
  "formula": "SrGeOs3",
  "functional": "GGA-PBE",
  "state": "relaxed",
  "lattice": [[4.918, 0.000, 0.000], [0.000, 4.918, 0.000], [0.000, 0.000, 4.918]],
  "species": ["Sr", "Ge", "Os", "Os", "Os"],
  "frac_coords": [[0.000, 0.000, 0.000], [0.500, 0.500, 0.500], [0.000, 0.500, 0.000], [0.000, 0.000, 0.500], [0.500, 0.000, 0.000]],
  "de_polymorph_ev_per_fu": 11.81,
  "formation_energy_ev_per_atom": 3.584
}

***

8.
{
  "formula": "Tb2TmMg9",
  "functional": "GGA-PBE",
  "state": "relaxed",
  "lattice": [[-4.030, 4.260, -1.417], [-5.512, -1.569, -1.887], [-6.333, 0.959, 8.054]],
  "species": ["Tb", "Tb", "Tm", "Mg", "Mg", "Mg", "Mg", "Mg", "Mg", "Mg", "Mg", "Mg"],
  "frac_coords": [[0.858, 0.858, 0.427], [0.142, 0.142, 0.573], [0.000, 0.000, 0.000], [0.666, 0.666, 0.002], [0.334, 0.334, 0.998], [0.500, 0.500, 0.500], [0.414, 0.414, 0.252], [0.921, 0.414, 0.252], [0.414, 0.921, 0.252], [0.586, 0.586, 0.748], [0.586, 0.079, 0.748], [0.079, 0.586, 0.748]],
  "de_polymorph_ev_per_fu": 0.47,
  "formation_energy_ev_per_atom": -0.017
}